! Tb2YSb (PBE, optimized geometry); values from VASP
! excess energy over the best structure of this formula in the dataset	7.4	kJ/mol of atoms
! formation energy without anion corrections	-0.492	eV per atom
! crystal system	tetragonal
&SYSTEM
  ibrav = 0, nat = 4, ntyp = 3
/
ATOMIC_SPECIES
Tb 158.93 Tb.upf
Y 88.91 Y.upf
Sb 121.76 Sb.upf
CELL_PARAMETERS angstrom
4.153 0.000 0.000
0.000 4.153 0.000
0.000 0.000 6.734
ATOMIC_POSITIONS angstrom
Tb 0.000 0.000 1.563
Tb 0.000 0.000 5.171
Y 2.077 2.077 3.367
Sb 2.077 2.077 0.000


! Tb2Y3Sb3 (PBE, optimized geometry); values from VASP
! formation energy without anion corrections	-0.957	eV per atom
! crystal system	hexagonal
&SYSTEM
  ibrav = 0, nat = 16, ntyp = 3
/
ATOMIC_SPECIES
Tb 158.93 Tb.upf
Y 88.91 Y.upf
Sb 121.76 Sb.upf
CELL_PARAMETERS angstrom
9.015 0.000 0.000
-4.507 7.807 0.000
0.000 0.000 6.329
ATOMIC_POSITIONS angstrom
Tb 0.000 5.205 0.000
Tb 0.000 5.205 3.165
Tb 4.507 2.602 0.000
Tb 4.507 2.602 3.165
Y -1.116 1.933 1.582
Y -3.391 5.874 4.747
Y 2.233 0.000 1.582
Y 1.116 1.933 4.747
Y 6.782 0.000 4.747
Y 3.391 5.874 1.582
Sb -1.748 3.028 4.747
Sb -2.759 4.779 1.582
Sb 3.497 0.000 4.747
Sb 1.748 3.028 1.582
Sb 5.518 0.000 1.582
Sb 2.759 4.779 4.747


! Tb4Y3Sb4 (PBE, optimized geometry); values from VASP
! formation energy without anion corrections	-0.780	eV per atom
! crystal system	orthorhombic
&SYSTEM
  ibrav = 0, nat = 11, ntyp = 3
/
ATOMIC_SPECIES
Tb 158.93 Tb.upf
Y 88.91 Y.upf
Sb 121.76 Sb.upf
CELL_PARAMETERS angstrom
-2.021 4.562 8.710
2.021 -4.562 8.710
2.021 4.562 -8.710
ATOMIC_POSITIONS angstrom
Tb 2.021 -2.910 5.770
Tb 0.000 1.652 2.940
Tb 2.021 2.910 5.770
Tb 0.000 7.473 2.940
Y 2.021 0.000 0.000
Y 0.000 0.000 6.983
Y 0.000 0.000 10.437
Sb 2.021 0.000 4.648
Sb 0.000 2.656 0.000
Sb 0.000 6.468 0.000
Sb 0.000 4.562 4.062


! Tb5Y3Sb8 (PBE, optimized geometry); values from VASP
! formation energy without anion corrections	-1.155	eV per atom
! crystal system	trigonal
&SYSTEM
  ibrav = 0, nat = 16, ntyp = 3
/
ATOMIC_SPECIES
Tb 158.93 Tb.upf
Y 88.91 Y.upf
Sb 121.76 Sb.upf
CELL_PARAMETERS angstrom
4.399 2.540 7.184
-4.399 2.540 7.184
0.000 -5.080 7.184
ATOMIC_POSITIONS angstrom
Tb 0.000 0.000 0.000
Tb -2.200 -1.270 7.184
Tb -2.200 1.270 14.367
Tb 0.000 2.540 7.184
Tb 0.000 0.000 10.776
Y -4.399 0.000 10.776
Y -2.200 1.270 3.592
Y 2.200 1.270 3.592
Sb 0.000 0.000 5.384
Sb 0.000 -2.542 8.983
Sb -2.201 1.271 8.983
Sb -2.201 -1.271 12.569
Sb 2.201 1.271 8.983
Sb 2.201 -1.271 12.569
Sb 0.000 2.542 12.569
Sb 0.000 0.000 16.168


! Tb2YSb (PBE, optimized geometry); values from VASP
! excess energy over the best structure of this formula in the dataset	25.2	kJ/mol of atoms
! formation energy without anion corrections	-0.308	eV per atom
! crystal system	trigonal
&SYSTEM
  ibrav = 0, nat = 12, ntyp = 3
/
ATOMIC_SPECIES
Tb 158.93 Tb.upf
Y 88.91 Y.upf
Sb 121.76 Sb.upf
CELL_PARAMETERS angstrom
3.988 0.000 0.000
-1.994 3.453 0.000
0.000 0.000 29.165
ATOMIC_POSITIONS angstrom
Tb 0.000 0.000 6.817
Tb 0.000 0.000 22.349
Tb 0.000 2.302 12.627
Tb 0.000 2.302 26.260
Tb 1.994 1.151 2.905
Tb 1.994 1.151 16.539
Y 0.000 0.000 0.000
Y 0.000 2.302 19.444
Y 1.994 1.151 9.722
Sb 0.000 0.000 14.583
Sb 0.000 2.302 4.861
Sb 1.994 1.151 24.304


! TbY2Sb (PBE, optimized geometry); values from VASP
! excess energy over the best structure of this formula in the dataset	0.0	kJ/mol of atoms
! formation energy without anion corrections	-0.583	eV per atom
! crystal system	orthorhombic
&SYSTEM
  ibrav = 0, nat = 16, ntyp = 3
/
ATOMIC_SPECIES
Tb 158.93 Tb.upf
Y 88.91 Y.upf
Sb 121.76 Sb.upf
CELL_PARAMETERS angstrom
4.140 0.000 0.000
0.000 12.293 0.000
0.000 0.000 9.528
ATOMIC_POSITIONS angstrom
Tb 0.000 0.738 2.382
Tb 0.000 11.555 7.146
Tb 2.070 5.408 7.146
Tb 2.070 6.885 2.382
Y 0.000 4.471 0.451
Y 0.000 4.471 4.313
Y 0.000 7.822 5.215
Y 0.000 7.822 9.078
Y 2.070 1.675 5.215
Y 2.070 1.675 9.078
Y 2.070 10.618 0.451
Y 2.070 10.618 4.313
Sb 0.000 2.971 7.146
Sb 0.000 9.322 2.382
Sb 2.070 3.176 2.382
Sb 2.070 9.117 7.146


! TbY2Sb (PBE, optimized geometry); values from VASP
! excess energy over the best structure of this formula in the dataset	10.1	kJ/mol of atoms
! formation energy without anion corrections	-0.479	eV per atom
! crystal system	tetragonal
&SYSTEM
  ibrav = 0, nat = 4, ntyp = 3
/
ATOMIC_SPECIES
Tb 158.93 Tb.upf
Y 88.91 Y.upf
Sb 121.76 Sb.upf
CELL_PARAMETERS angstrom
4.822 0.000 0.000
0.000 4.822 0.000
0.000 0.000 4.761
ATOMIC_POSITIONS angstrom
Tb 0.000 0.000 0.000
Y 0.000 2.411 2.380
Y 2.411 0.000 2.380
Sb 2.411 2.411 0.000


! TbY2Sb (PBE, optimized geometry); values from VASP
! excess energy over the best structure of this formula in the dataset	21.9	kJ/mol of atoms
! formation energy without anion corrections	-0.356	eV per atom
! crystal system	trigonal
&SYSTEM
  ibrav = 0, nat = 12, ntyp = 3
/
ATOMIC_SPECIES
Tb 158.93 Tb.upf
Y 88.91 Y.upf
Sb 121.76 Sb.upf
CELL_PARAMETERS angstrom
4.012 0.000 0.000
-2.006 3.475 0.000
0.000 0.000 28.415
ATOMIC_POSITIONS angstrom
Tb 0.000 0.000 0.000
Tb 0.000 2.317 18.943
Tb 2.006 1.158 9.472
Y 0.000 0.000 16.118
Y 0.000 0.000 21.744
Y 0.000 2.317 6.646
Y 0.000 2.317 12.272
Y 2.006 1.158 2.801
Y 2.006 1.158 25.589
Sb 0.000 0.000 4.710
Sb 0.000 2.317 23.654
Sb 2.006 1.158 14.182


! Tb2Y2Sb5 (PBE, optimized geometry); values from VASP
! formation energy without anion corrections	-0.868	eV per atom
! crystal system	orthorhombic
&SYSTEM
  ibrav = 0, nat = 18, ntyp = 3
/
ATOMIC_SPECIES
Tb 158.93 Tb.upf
Y 88.91 Y.upf
Sb 121.76 Sb.upf
CELL_PARAMETERS angstrom
7.887 -4.004 0.000
7.887 4.004 0.000
0.000 0.000 8.233
ATOMIC_POSITIONS angstrom
Tb 3.004 0.000 0.000
Tb 4.883 0.000 4.117
Tb 10.891 0.000 4.117
Tb 12.771 0.000 0.000
Y 7.887 2.745 5.447
Y 7.887 1.260 1.330
Y 7.887 -1.260 6.903
Y 7.887 -2.745 2.786
Sb 0.000 0.000 0.000
Sb 5.668 2.838 2.918
Sb 5.668 1.166 7.034
Sb 10.107 2.838 2.918
Sb 10.107 1.166 7.034
Sb 7.887 0.000 4.117
Sb 5.668 -1.166 1.199
Sb 5.668 -2.838 5.316
Sb 10.107 -1.166 1.199
Sb 10.107 -2.838 5.316


! TbY2Sb (PBE, optimized geometry); values from VASP
! excess energy over the best structure of this formula in the dataset	9.6	kJ/mol of atoms
! formation energy without anion corrections	-0.484	eV per atom
! crystal system	tetragonal
&SYSTEM
  ibrav = 0, nat = 4, ntyp = 3
/
ATOMIC_SPECIES
Tb 158.93 Tb.upf
Y 88.91 Y.upf
Sb 121.76 Sb.upf
CELL_PARAMETERS angstrom
3.999 0.000 0.000
0.000 3.999 0.000
0.000 0.000 7.289
ATOMIC_POSITIONS angstrom
Tb 0.000 0.000 0.000
Y 2.000 2.000 2.020
Y 2.000 2.000 5.269
Sb 0.000 0.000 3.645


! TbYSb2 (PBE, optimized geometry); values from VASP
! excess energy over the best structure of this formula in the dataset	7.5	kJ/mol of atoms
! formation energy without anion corrections	-1.081	eV per atom
! crystal system	trigonal
&SYSTEM
  ibrav = 0, nat = 4, ntyp = 3
/
ATOMIC_SPECIES
Tb 158.93 Tb.upf
Y 88.91 Y.upf
Sb 121.76 Sb.upf
CELL_PARAMETERS angstrom
4.367 0.000 0.000
-2.184 3.782 0.000
0.000 0.000 7.515
ATOMIC_POSITIONS angstrom
Tb 0.000 0.000 0.000
Y 0.000 0.000 3.757
Sb 0.000 2.521 1.883
Sb 2.184 1.261 5.631


! Tb3YSb4 (PBE, optimized geometry); values from VASP
! formation energy without anion corrections	-1.158	eV per atom
! crystal system	cubic
&SYSTEM
  ibrav = 0, nat = 8, ntyp = 3
/
ATOMIC_SPECIES
Tb 158.93 Tb.upf
Y 88.91 Y.upf
Sb 121.76 Sb.upf
CELL_PARAMETERS angstrom
6.218 0.000 0.000
0.000 6.218 0.000
0.000 0.000 6.218
ATOMIC_POSITIONS angstrom
Tb 0.000 0.000 3.109
Tb 0.000 3.109 0.000
Tb 3.109 0.000 0.000
Y 3.109 3.109 3.109
Sb 0.000 0.000 0.000
Sb 0.000 3.109 3.109
Sb 3.109 0.000 3.109
Sb 3.109 3.109 0.000


! TbY2Sb (PBE, optimized geometry); values from VASP
! excess energy over the best structure of this formula in the dataset	25.7	kJ/mol of atoms
! formation energy without anion corrections	-0.317	eV per atom
! crystal system	trigonal
&SYSTEM
  ibrav = 0, nat = 12, ntyp = 3
/
ATOMIC_SPECIES
Tb 158.93 Tb.upf
Y 88.91 Y.upf
Sb 121.76 Sb.upf
CELL_PARAMETERS angstrom
3.973 0.000 0.000
-1.987 3.441 0.000
0.000 0.000 29.138
ATOMIC_POSITIONS angstrom
Tb 0.000 0.000 0.000
Tb 0.000 2.294 19.426
Tb 1.987 1.147 9.713
Y 0.000 0.000 6.805
Y 0.000 0.000 22.333
Y 0.000 2.294 12.621
Y 0.000 2.294 26.230
Y 1.987 1.147 2.908
Y 1.987 1.147 16.518
Sb 0.000 0.000 14.569
Sb 0.000 2.294 4.856
Sb 1.987 1.147 24.282


! TbY3Sb4 (PBE, optimized geometry); values from VASP
! formation energy without anion corrections	-1.167	eV per atom
! crystal system	cubic
&SYSTEM
  ibrav = 0, nat = 8, ntyp = 3
/
ATOMIC_SPECIES
Tb 158.93 Tb.upf
Y 88.91 Y.upf
Sb 121.76 Sb.upf
CELL_PARAMETERS angstrom
6.209 0.000 0.000
0.000 6.209 0.000
0.000 0.000 6.209
ATOMIC_POSITIONS angstrom
Tb 0.000 0.000 0.000
Y 0.000 3.105 3.105
Y 3.105 0.000 3.105
Y 3.105 3.105 0.000
Sb 0.000 0.000 3.105
Sb 0.000 3.105 0.000
Sb 3.105 0.000 0.000
Sb 3.105 3.105 3.105


! Tb2YSb (PBE, optimized geometry); values from VASP
! excess energy over the best structure of this formula in the dataset	0.0	kJ/mol of atoms
! formation energy without anion corrections	-0.569	eV per atom
! crystal system	orthorhombic
&SYSTEM
  ibrav = 0, nat = 16, ntyp = 3
/
ATOMIC_SPECIES
Tb 158.93 Tb.upf
Y 88.91 Y.upf
Sb 121.76 Sb.upf
CELL_PARAMETERS angstrom
4.144 0.000 0.000
0.000 12.192 0.000
0.000 0.000 9.628
ATOMIC_POSITIONS angstrom
Tb 0.000 1.670 0.452
Tb 0.000 1.670 4.362
Tb 0.000 10.522 5.266
Tb 0.000 10.522 9.175
Tb 2.072 4.426 5.266
Tb 2.072 4.426 9.175
Tb 2.072 7.766 0.452
Tb 2.072 7.766 4.362
Y 0.000 5.352 2.407
Y 0.000 6.840 7.221
Y 2.072 0.744 7.221
Y 2.072 11.447 2.407
Sb 0.000 3.156 7.221
Sb 0.000 9.035 2.407
Sb 2.072 2.940 2.407
Sb 2.072 9.252 7.221


! Tb3YSb3 (PBE, optimized geometry); values from VASP
! excess energy over the best structure of this formula in the dataset	0.0	kJ/mol of atoms
! formation energy without anion corrections	-1.017	eV per atom
! crystal system	cubic
&SYSTEM
  ibrav = 0, nat = 28, ntyp = 3
/
ATOMIC_SPECIES
Tb 158.93 Tb.upf
Y 88.91 Y.upf
Sb 121.76 Sb.upf
CELL_PARAMETERS angstrom
9.232 0.000 0.000
0.000 9.232 0.000
0.000 0.000 9.232
ATOMIC_POSITIONS angstrom
Tb 0.659 3.957 5.275
Tb 1.646 1.646 1.646
Tb 1.643 7.588 2.972
Tb 2.972 1.643 7.588
Tb 2.970 7.586 6.262
Tb 3.957 5.275 0.659
Tb 5.275 0.659 3.957
Tb 6.262 2.970 7.586
Tb 6.259 6.259 6.259
Tb 7.588 2.972 1.643
Tb 7.586 6.262 2.970
Tb 8.573 8.573 8.573
Y 0.664 5.280 8.568
Y 3.952 3.952 3.952
Y 5.280 8.568 0.664
Y 8.568 0.664 5.280
Sb 0.002 2.312 8.075
Sb 9.230 6.928 5.772
Sb 1.156 4.618 2.304
Sb 2.304 1.156 4.618
Sb 2.312 8.075 0.002
Sb 3.460 4.614 6.920
Sb 4.618 2.304 1.156
Sb 4.614 6.920 3.460
Sb 5.772 9.230 6.928
Sb 6.920 3.460 4.614
Sb 6.928 5.772 9.230
Sb 8.075 0.002 2.312


! Tb2Y5Sb5 (PBE, optimized geometry); values from VASP
! formation energy without anion corrections	-0.879	eV per atom
! crystal system	monoclinic
&SYSTEM
  ibrav = 0, nat = 12, ntyp = 3
/
ATOMIC_SPECIES
Tb 158.93 Tb.upf
Y 88.91 Y.upf
Sb 121.76 Sb.upf
CELL_PARAMETERS angstrom
7.085 -2.174 0.000
7.085 2.174 0.000
-4.000 0.000 11.992
ATOMIC_POSITIONS angstrom
Tb -0.538 0.000 3.412
Tb 10.707 0.000 8.579
Y 3.279 0.000 1.851
Y 2.982 0.000 5.539
Y 7.085 0.000 0.000
Y 7.187 0.000 6.453
Y 6.890 0.000 10.140
Sb -2.000 0.000 5.996
Sb -2.035 0.000 11.176
Sb 1.468 0.000 8.457
Sb 8.701 0.000 3.535
Sb 12.204 0.000 0.816


! Tb5Y2Sb4 (PBE, optimized geometry); values from VASP
! formation energy without anion corrections	-0.566	eV per atom
! crystal system	monoclinic
&SYSTEM
  ibrav = 0, nat = 11, ntyp = 3
/
ATOMIC_SPECIES
Tb 158.93 Tb.upf
Y 88.91 Y.upf
Sb 121.76 Sb.upf
CELL_PARAMETERS angstrom
11.225 -2.022 0.000
11.225 2.022 0.000
-1.289 0.000 7.744
ATOMIC_POSITIONS angstrom
Tb 0.000 0.000 0.000
Tb 5.826 0.000 7.166
Tb 9.146 0.000 4.772
Tb 12.015 0.000 2.972
Tb 15.335 0.000 0.578
Y 6.199 0.000 2.798
Y 14.962 0.000 4.946
Sb 3.028 0.000 2.636
Sb 9.262 0.000 1.643
Sb 11.899 0.000 6.101
Sb 18.133 0.000 5.108


! TbYSb2 (PBE, optimized geometry); values from VASP
! excess energy over the best structure of this formula in the dataset	0.0	kJ/mol of atoms
! formation energy without anion corrections	-1.158	eV per atom
! crystal system	orthorhombic
&SYSTEM
  ibrav = 0, nat = 8, ntyp = 3
/
ATOMIC_SPECIES
Tb 158.93 Tb.upf
Y 88.91 Y.upf
Sb 121.76 Sb.upf
CELL_PARAMETERS angstrom
4.397 0.000 0.000
0.000 6.215 0.000
0.000 0.000 8.794
ATOMIC_POSITIONS angstrom
Tb 1.099 1.554 1.099
Tb 3.297 4.662 7.695
Y 1.099 1.554 5.495
Y 3.297 4.662 3.300
Sb 1.099 4.662 1.103
Sb 1.099 4.662 5.494
Sb 3.297 1.554 3.301
Sb 3.297 1.554 7.691


! TbY2Sb2 (PBE, optimized geometry); values from VASP
! formation energy without anion corrections	-0.657	eV per atom
! crystal system	monoclinic
&SYSTEM
  ibrav = 0, nat = 10, ntyp = 3
/
ATOMIC_SPECIES
Tb 158.93 Tb.upf
Y 88.91 Y.upf
Sb 121.76 Sb.upf
CELL_PARAMETERS angstrom
5.311 -5.968 0.000
5.311 5.968 0.000
-3.245 0.000 4.938
ATOMIC_POSITIONS angstrom
Tb 2.877 4.790 3.703
Tb 4.499 -4.790 1.234
Y 3.294 1.162 0.158
Y 1.671 -1.162 2.627
Y 5.704 1.162 2.310
Y 4.082 -1.162 4.779
Sb 4.499 3.901 1.234
Sb 2.877 1.537 3.703
Sb 4.499 -1.537 1.234
Sb 2.877 -3.901 3.703